--- A ---
DFT (PBE-GGA) results for an optimized crystal structure of KMn2Cr.

extended XYZ file:
```
12
Lattice="2.982 0.000 0.000 -1.491 2.583 0.000 0.000 0.000 29.177" Properties=species:S:1:pos:R:3 pbc="T T T"
K 0.000 0.000 0.000
K 0.000 1.722 19.451
K 1.491 0.861 9.726
Mn 0.000 0.000 6.649
Mn 0.000 0.000 22.528
Mn 0.000 1.722 12.802
Mn 0.000 1.722 26.100
Mn 1.491 0.861 3.077
Mn 1.491 0.861 16.374
Cr 0.000 0.000 14.588
Cr 0.000 1.722 4.863
Cr 1.491 0.861 24.314
```

Computed properties:
Mass density in g/cm3: 4.45

--- B ---
DFT (PBE-GGA) results for an optimized crystal structure of KMn2Cr.

extended XYZ file:
```
8
Lattice="2.932 0.000 0.000 0.000 5.360 0.000 0.000 0.000 10.407" Properties=species:S:1:pos:R:3 pbc="T T T"
K 0.000 0.000 0.000
K 1.466 2.680 5.203
Mn 0.000 0.000 5.457
Mn 0.000 2.680 8.279
Mn 1.466 0.000 3.075
Mn 1.466 2.680 0.253
Cr 0.000 2.680 2.226
Cr 1.466 0.000 7.429
```

Computed properties:
Mass density in g/cm3: 4.08

Ranked by calculated energy, most stable first: A, B.

--- A ---
DFT (PBE-GGA) results for an optimized crystal structure of K2CrMo.

extended XYZ file:
```
12
Lattice="3.024 0.000 0.000 -1.512 2.619 0.000 0.000 0.000 37.216" Properties=species:S:1:pos:R:3 pbc="T T T"
K 0.000 0.000 9.252
K 0.000 0.000 27.964
K 0.000 1.746 15.558
K 0.000 1.746 34.063
K 1.512 0.873 3.153
K 1.512 0.873 21.658
Cr 0.000 0.000 0.000
Cr 0.000 1.746 24.811
Cr 1.512 0.873 12.405
Mo 0.000 0.000 18.608
Mo 0.000 1.746 6.203
Mo 1.512 0.873 31.013
```

Computed properties:
Mass density in g/cm3: 3.82

--- B ---
DFT (PBE-GGA) results for an optimized crystal structure of K2CrMo.

extended XYZ file:
```
16
Lattice="8.264 0.000 0.000 0.000 8.264 0.000 0.000 0.000 8.264" Properties=species:S:1:pos:R:3 pbc="T T T"
K 2.066 2.066 2.066
K 2.066 2.066 6.198
K 2.066 6.198 2.066
K 2.066 6.198 6.198
K 6.198 2.066 2.066
K 6.198 2.066 6.198
K 6.198 6.198 2.066
K 6.198 6.198 6.198
Cr 0.000 0.000 0.000
Cr 0.000 4.132 4.132
Cr 4.132 0.000 4.132
Cr 4.132 4.132 0.000
Mo 0.000 0.000 4.132
Mo 0.000 4.132 0.000
Mo 4.132 0.000 0.000
Mo 4.132 4.132 4.132
```

Computed properties:
Mass density in g/cm3: 2.66

--- C ---
DFT (PBE-GGA) results for an optimized crystal structure of K2CrMo.

extended XYZ file:
```
8
Lattice="3.226 0.000 0.000 0.000 4.957 0.000 0.000 0.000 12.387" Properties=species:S:1:pos:R:3 pbc="T T T"
K 0.000 0.000 3.028
K 0.000 0.000 9.359
K 1.613 2.479 3.028
K 1.613 2.479 9.359
Cr 0.000 2.479 6.194
Cr 1.613 0.000 6.194
Mo 0.000 2.479 0.000
Mo 1.613 0.000 0.000
```

Computed properties:
Mass density in g/cm3: 3.79

--- D ---
DFT (PBE-GGA) results for an optimized crystal structure of K2CrMo.

extended XYZ file:
```
8
Lattice="3.185 0.000 0.000 0.000 3.810 0.000 0.000 0.000 20.998" Properties=species:S:1:pos:R:3 pbc="T T T"
K 0.000 0.000 3.150
K 0.000 0.000 17.847
K 1.593 1.905 7.349
K 1.593 1.905 13.649
Cr 0.000 1.905 10.499
Cr 1.593 0.000 0.000
Mo 0.000 1.905 0.000
Mo 1.593 0.000 10.499
```

Computed properties:
Mass density in g/cm3: 2.95

Ranked by calculated energy, most stable first: D, C, A, B.

--- A ---
DFT (PBE-GGA) results for an optimized crystal structure of K2CrMo.

extended XYZ file:
```
8
Lattice="4.166 0.000 0.000 0.000 4.166 0.000 0.000 0.000 12.065" Properties=species:S:1:pos:R:3 pbc="T T T"
K 0.000 2.083 3.016
K 0.000 2.083 9.049
K 2.083 0.000 3.016
K 2.083 0.000 9.049
Cr 0.000 0.000 0.000
Cr 2.083 2.083 6.032
Mo 0.000 0.000 6.032
Mo 2.083 2.083 0.000
```

Computed properties:
Mass density in g/cm3: 3.59

--- B ---
DFT (PBE-GGA) results for an optimized crystal structure of K2CrMo.

extended XYZ file:
```
4
Lattice="4.653 0.000 0.000 0.000 4.653 0.000 0.000 0.000 6.863" Properties=species:S:1:pos:R:3 pbc="T T T"
K 0.000 0.000 1.700
K 0.000 0.000 5.163
Cr 2.327 2.327 0.000
Mo 2.327 2.327 3.432
```

Computed properties:
Mass density in g/cm3: 2.53

--- C ---
DFT (PBE-GGA) results for an optimized crystal structure of K2CrMo.

extended XYZ file:
```
8
Lattice="3.335 0.000 0.000 0.000 5.431 0.000 0.000 0.000 11.733" Properties=species:S:1:pos:R:3 pbc="T T T"
K 0.000 0.000 0.000
K 0.000 2.715 4.149
K 1.668 0.000 4.149
K 1.668 2.715 0.000
Cr 0.000 0.000 7.116
Cr 1.668 2.715 7.116
Mo 0.000 2.715 8.658
Mo 1.668 0.000 8.658
```

Computed properties:
Mass density in g/cm3: 3.53

Ranked by calculated energy, most stable first: C, A, B.

--- A ---
DFT (PBE-GGA) results for an optimized crystal structure of K2CrMo.

extended XYZ file:
```
8
Lattice="5.709 0.000 0.000 0.000 12.153 0.000 0.000 0.000 2.915" Properties=species:S:1:pos:R:3 pbc="T T T"
K 1.427 3.038 0.000
K 1.427 9.115 0.000
K 4.282 3.038 0.000
K 4.282 9.115 0.000
Cr 0.000 0.000 1.457
Cr 2.855 6.077 1.457
Mo 0.000 6.077 1.457
Mo 2.855 0.000 1.457
```

Computed properties:
Mass density in g/cm3: 3.71

--- B ---
DFT (PBE-GGA) results for an optimized crystal structure of K2CrMo.

extended XYZ file:
```
4
Lattice="2.937 0.000 0.000 0.000 6.173 0.000 -0.286 0.000 5.398" Properties=species:S:1:pos:R:3 pbc="T T T"
K 0.646 0.000 1.358
K 2.005 0.000 4.039
Cr -0.143 3.087 2.699
Mo 1.469 3.087 0.000
```

Computed properties:
Mass density in g/cm3: 3.84

--- C ---
DFT (PBE-GGA) results for an optimized crystal structure of K2CrMo.

extended XYZ file:
```
8
Lattice="3.229 0.000 0.000 0.000 6.414 0.000 0.000 0.000 12.093" Properties=species:S:1:pos:R:3 pbc="T T T"
K 0.000 0.000 0.000
K 0.000 3.207 2.415
K 1.615 0.000 8.462
K 1.615 3.207 6.047
Cr 0.000 0.000 5.072
Cr 1.615 3.207 11.119
Mo 0.000 3.207 9.572
Mo 1.615 0.000 3.525
```

Computed properties:
Mass density in g/cm3: 3.00

--- D ---
DFT (PBE-GGA) results for an optimized crystal structure of K2CrMo.

extended XYZ file:
```
4
Lattice="3.389 0.000 0.000 0.000 3.389 0.000 0.000 0.000 10.554" Properties=species:S:1:pos:R:3 pbc="T T T"
K 0.000 0.000 0.000
K 1.695 1.695 4.205
Cr 1.695 1.695 7.798
Mo 0.000 0.000 7.023
```

Computed properties:
Mass density in g/cm3: 3.10

Ranked by calculated energy, most stable first: D, C, B, A.

--- A ---
DFT (PBE-GGA) results for an optimized crystal structure of KCrMo3.

extended XYZ file:
```
5
Lattice="4.427 0.000 0.000 0.000 4.427 0.000 0.000 0.000 4.427" Properties=species:S:1:pos:R:3 pbc="T T T"
K 0.000 0.000 0.000
Cr 2.213 2.213 2.213
Mo 0.000 0.000 2.213
Mo 0.000 2.213 0.000
Mo 2.213 0.000 0.000
```

Computed properties:
Mass density in g/cm3: 7.25

--- B ---
DFT (PBE-GGA) results for an optimized crystal structure of KCrMo3.

extended XYZ file:
```
5
Lattice="4.667 0.000 0.000 0.000 4.667 0.000 0.000 0.000 4.667" Properties=species:S:1:pos:R:3 pbc="T T T"
K 0.000 0.000 0.000
Cr 2.334 2.334 2.334
Mo 0.000 2.334 2.334
Mo 2.334 0.000 2.334
Mo 2.334 2.334 0.000
```

Computed properties:
Mass density in g/cm3: 6.19

Ranked by calculated energy, most stable first: B, A.

--- A ---
DFT (PBE-GGA) results for an optimized crystal structure of KCrN2.

extended XYZ file:
```
16
Lattice="5.639 0.000 0.000 0.000 5.639 0.000 0.000 0.000 8.129" Properties=species:S:1:pos:R:3 pbc="T T T"
K 0.000 0.000 0.000
K 0.000 2.819 2.032
K 2.819 0.000 6.097
K 2.819 2.819 4.065
Cr 0.000 0.000 4.065
Cr 0.000 2.819 6.097
Cr 2.819 0.000 2.032
Cr 2.819 2.819 0.000
N 0.297 4.229 5.081
N 1.410 0.297 3.049
N 1.410 2.523 7.113
N 2.523 4.229 1.016
N 3.116 1.410 1.016
N 4.229 3.116 7.113
N 4.229 5.342 3.049
N 5.342 1.410 5.081
```

Computed properties:
Mass density in g/cm3: 3.06

--- B ---
DFT (PBE-GGA) results for an optimized crystal structure of KCrN2.

extended XYZ file:
```
64
Lattice="5.724 0.000 0.000 0.000 11.477 0.000 0.000 0.000 15.699" Properties=species:S:1:pos:R:3 pbc="T T T"
K 0.842 2.861 3.016
K 0.842 2.877 10.866
K 1.424 11.477 1.047
K 1.424 5.739 8.897
K 1.438 0.000 8.897
K 1.438 5.738 1.047
K 2.020 8.600 3.016
K 2.020 8.616 10.866
K 3.705 2.861 4.833
K 3.705 2.877 12.682
K 4.286 11.477 6.802
K 4.286 5.739 14.652
K 4.300 0.000 14.652
K 4.300 5.738 6.802
K 4.882 8.600 4.833
K 4.882 8.616 12.682
Cr 1.064 2.862 6.934
Cr 1.064 2.876 14.783
Cr 1.420 5.746 12.796
Cr 1.420 11.470 4.946
Cr 1.442 0.007 12.796
Cr 1.442 5.731 4.946
Cr 1.798 8.601 6.934
Cr 1.798 8.615 14.783
Cr 3.926 2.862 0.916
Cr 3.926 2.876 8.765
Cr 4.282 5.746 10.753
Cr 4.282 11.470 2.903
Cr 4.304 0.007 10.753
Cr 4.304 5.731 2.903
Cr 4.660 8.601 0.916
Cr 4.660 8.615 8.765
N 0.026 0.000 11.754
N 0.026 5.738 3.905
N 0.658 8.603 0.436
N 0.658 8.613 8.286
N 1.378 1.449 13.804
N 1.378 4.290 5.954
N 1.383 1.419 5.977
N 1.383 4.319 13.826
N 1.479 7.158 5.977
N 1.479 10.058 13.826
N 1.484 7.187 13.804
N 1.484 10.028 5.954
N 2.205 2.864 0.436
N 2.205 2.874 8.286
N 2.836 11.477 3.905
N 2.836 5.739 11.754
N 2.888 0.000 11.794
N 2.888 5.738 3.945
N 3.520 8.603 7.413
N 3.520 8.613 15.262
N 4.240 1.449 9.745
N 4.240 4.290 1.895
N 4.245 1.419 1.873
N 4.245 4.319 9.722
N 4.341 7.158 1.873
N 4.341 10.058 9.722
N 4.346 7.187 9.745
N 4.346 10.028 1.895
N 5.067 2.864 7.413
N 5.067 2.874 15.262
N 5.698 11.477 3.945
N 5.698 5.739 11.794
```

Computed properties:
Mass density in g/cm3: 3.07

Ranked by calculated energy, most stable first: B, A.